The following is a DFT calculation (PBE-GGA) of a relaxed AlP2Os crystal.

The structure belongs to space group Pmmm (No. 47); the cell edges are 3.077, 4.262 and 4.316 Å and the angles 90.00°, 90.00° and 90.00°. Symmetry generates all atoms from Al at (0.000, 0.000, 0.000), P at (0.000, 0.500, 0.500), P at (0.500, 0.000, 0.500) and Os at (0.500, 0.500, 0.000).

As for the total magnetization: 0.0000 μB per atom. The calculation puts the final energy at -24.3 eV/cell.



The following is a DFT calculation (PBE-GGA) of a relaxed AlPOs2 crystal.

The structure belongs to space group Cmmm (No. 65); the cell edges are 2.887, 5.010 and 7.983 Å and the angles 90.00°, 90.00° and 90.00°. Symmetry generates all atoms from Al at (0.000, 0.000, 0.000), P at (0.000, 0.000, 0.500) and Os at (0.000, 0.500, 0.269).

As for the total magnetization: 0.0000 μB per atom. The calculation puts the final energy at -61.7 eV/cell.



The following is a DFT calculation (PBE-GGA) of a relaxed AlP2Os crystal.

The structure belongs to space group Imm2 (No. 44); the cell edges are 3.065, 4.599 and 7.954 Å and the angles 90.00°, 90.00° and 90.00°. Symmetry generates all atoms from Al at (0.000, 0.000, 0.000), P at (0.000, 0.000, 0.524), P at (0.000, 0.500, 0.255) and Os at (0.000, 0.500, 0.789).

As for the total magnetization: 0.0000 μB per atom. The calculation puts the final energy at -50.0 eV/cell.



The following is a DFT calculation (PBE-GGA) of a relaxed AlPOs2 crystal.

The structure belongs to space group P4mm (No. 99); the cell edges are 2.834, 2.834 and 7.393 Å and the angles 90.00°, 90.00° and 90.00°. Symmetry generates all atoms from Al at (0.000, 0.000, 0.000), P at (0.500, 0.500, 0.679), Os at (0.000, 0.000, 0.486) and Os at (0.500, 0.500, 0.228).

As for the total magnetization: 0.0000 μB per atom. The calculation puts the final energy at -31.5 eV/cell.



The following is a DFT calculation (PBE-GGA) of a relaxed Al2POs crystal.

The structure belongs to space group R-3m (No. 166, hexagonal axes); the cell edges are 2.9299, 2.9299 and 23.5808 Å and the angles 90.00°, 90.00° and 120.00°. Symmetry generates all atoms from Al at (0.0000, 0.0000, 0.2484), P at (0.0000, 0.0000, 0.0000) and Os at (0.0000, 0.0000, 0.5000).

As for the total magnetization: 0.0000 μB per atom. The calculation puts the final energy at -73.3 eV/cell.



The following is a DFT calculation (PBE-GGA) of a relaxed AlPOs2 crystal.

The structure belongs to space group Immm (No. 71); the cell edges are 2.870, 4.752 and 8.311 Å and the angles 90.00°, 90.00° and 90.00°. Symmetry generates all atoms from Al at (0.000, 0.000, 0.000), P at (0.000, 0.000, 0.500) and Os at (0.000, 0.500, 0.220).

As for the total magnetization: 0.0000 μB per atom. The calculation puts the final energy at -62.8 eV/cell.



The following is a DFT calculation (PBE-GGA) of a relaxed AlPOs2 crystal.

The structure belongs to space group Cmm2 (No. 35); the cell edges are 2.859, 4.828 and 8.398 Å and the angles 90.00°, 90.00° and 90.00°. Symmetry generates all atoms from Al at (0.000, 0.000, 0.000), P at (0.000, 0.500, 0.745), Os at (0.000, 0.000, 0.521) and Os at (0.000, 0.500, 0.245).

As for the total magnetization: 0.0000 μB per atom. The calculation puts the final energy at -60.2 eV/cell.



The following is a DFT calculation (PBE-GGA) of a relaxed AlPOs crystal.

The structure belongs to space group F-43m (No. 216); the cell edges are 5.762, 5.762 and 5.762 Å and the angles 90.00°, 90.00° and 90.00°. Symmetry generates all atoms from Al at (0.000, 0.000, 0.000), P at (0.000, 0.000, 0.500) and Os at (0.250, 0.250, 0.750).

As for the total magnetization: 0.0000 μB per atom. The calculation puts the final energy at -81.8 eV/cell.



What did the eighth record say?
The following is a DFT calculation (PBE-GGA) of a relaxed AlPOs crystal.

The structure belongs to space group F-43m (No. 216); the cell edges are 5.762, 5.762 and 5.762 Å and the angles 90.00°, 90.00° and 90.00°. Symmetry generates all atoms from Al at (0.000, 0.000, 0.000), P at (0.000, 0.000, 0.500) and Os at (0.250, 0.250, 0.750).

As for the total magnetization: 0.0000 μB per atom. The calculation puts the final energy at -81.8 eV/cell.